Entry 1:
# ErSiTc, optimized geometry, DFT PBE
# Uncorrected energy = -88.8 eV for the cell shown
# Distance to the lowest polymorph of the same formula = 0.000 eV/atom
# Crystal system = orthorhombic
data_ErSiTc
_symmetry_space_group_name_H-M 'P n m a'
_symmetry_Int_Tables_number 62
_cell_length_a 7.0463
_cell_length_b 4.3119
_cell_length_c 7.1457
_cell_angle_alpha 90.00
_cell_angle_beta 90.00
_cell_angle_gamma 90.00
loop_
_symmetry_equiv_pos_as_xyz
'x,y,z'
'-x,-y,-z'
'-x+1/2,-y,z+1/2'
'x+1/2,y,-z+1/2'
'x+1/2,-y+1/2,-z+1/2'
'-x+1/2,y+1/2,z+1/2'
'-x,y+1/2,-z'
'x,-y+1/2,z'
loop_
_atom_site_label
_atom_site_type_symbol
_atom_site_fract_x
_atom_site_fract_y
_atom_site_fract_z
_atom_site_occupancy
Er1 Er 0.0100 0.2500 0.1865 1
Si1 Si 0.1966 0.2500 0.6074 1
Tc1 Tc 0.1556 0.7500 0.4367 1


Entry 2:
# Er2Si2Tc, optimized geometry, DFT PBE
# Uncorrected energy = -136.6 eV for the cell shown
# Crystal system = monoclinic
data_Er2Si2Tc
_symmetry_space_group_name_H-M 'C 1 2/m 1'
_symmetry_Int_Tables_number 12
_cell_length_a 10.7281
_cell_length_b 4.1581
_cell_length_c 10.0133
_cell_angle_alpha 90.00
_cell_angle_beta 118.30
_cell_angle_gamma 90.00
loop_
_symmetry_equiv_pos_as_xyz
'x,y,z'
'-x,-y,-z'
'-x,y,-z'
'x,-y,z'
'x+1/2,y+1/2,z'
'-x+1/2,-y+1/2,-z'
'-x+1/2,y+1/2,-z'
'x+1/2,-y+1/2,z'
loop_
_atom_site_label
_atom_site_type_symbol
_atom_site_fract_x
_atom_site_fract_y
_atom_site_fract_z
_atom_site_occupancy
Er1 Er 0.0058 0.0000 0.1778 1
Er2 Er 0.1872 0.0000 0.6101 1
Si1 Si 0.0035 0.5000 0.3785 1
Si2 Si 0.1406 0.5000 0.0599 1
Tc1 Tc 0.2271 0.5000 0.8701 1


Entry 3:
# ErSiTc, optimized geometry, DFT PBE
# Uncorrected energy = -82.8 eV for the cell shown
# Distance to the lowest polymorph of the same formula = 0.494 eV/atom
# Crystal system = cubic
data_ErSiTc
_symmetry_space_group_name_H-M 'F -4 3 m'
_symmetry_Int_Tables_number 216
_symmetry_space_group_name_Hall 'F -4 2 3'
_cell_length_a 6.1854
_cell_length_b 6.1854
_cell_length_c 6.1854
_cell_angle_alpha 90.00
_cell_angle_beta 90.00
_cell_angle_gamma 90.00
loop_
_atom_site_label
_atom_site_type_symbol
_atom_site_fract_x
_atom_site_fract_y
_atom_site_fract_z
_atom_site_occupancy
Er1 Er 0.0000 0.0000 0.0000 1
Si1 Si 0.2500 0.2500 0.2500 1
Tc1 Tc 0.0000 0.0000 0.5000 1


Entry 4:
# Er4SiTe3, optimized geometry, DFT PBE
# Uncorrected energy = -85.5 eV for the cell shown
# Crystal system = orthorhombic
data_Er4SiTe3
_symmetry_space_group_name_H-M 'C m m m'
_symmetry_Int_Tables_number 65
_symmetry_space_group_name_Hall '-C 2 2'
_cell_length_a 8.6436
_cell_length_b 12.1245
_cell_length_c 4.2359
_cell_angle_alpha 90.00
_cell_angle_beta 90.00
_cell_angle_gamma 90.00
loop_
_atom_site_label
_atom_site_type_symbol
_atom_site_fract_x
_atom_site_fract_y
_atom_site_fract_z
_atom_site_occupancy
Er1 Er 0.0000 0.2307 0.0000 1
Er2 Er 0.2198 0.0000 0.5000 1
Si1 Si 0.0000 0.0000 0.0000 1
Te1 Te 0.0000 0.5000 0.0000 1
Te2 Te 0.2500 0.2500 0.5000 1


Entry 5:
# Er5SiTe5, optimized geometry, DFT PBE
# Uncorrected energy = -115.9 eV for the cell shown
# Crystal system = monoclinic
data_Er5SiTe5
_symmetry_space_group_name_H-M 'C 1 2/m 1'
_symmetry_Int_Tables_number 12
_cell_length_a 13.5713
_cell_length_b 6.0498
_cell_length_c 8.5366
_cell_angle_alpha 90.00
_cell_angle_beta 108.78
_cell_angle_gamma 90.00
loop_
_symmetry_equiv_pos_as_xyz
'x,y,z'
'-x,-y,-z'
'-x,y,-z'
'x,-y,z'
'x+1/2,y+1/2,z'
'-x+1/2,-y+1/2,-z'
'-x+1/2,y+1/2,-z'
'x+1/2,-y+1/2,z'
loop_
_atom_site_label
_atom_site_type_symbol
_atom_site_fract_x
_atom_site_fract_y
_atom_site_fract_z
_atom_site_occupancy
Er1 Er 0.0000 0.0000 0.0000 1
Er2 Er 0.1547 0.5000 0.3152 1
Er3 Er 0.1555 0.5000 0.8420 1
Si1 Si 0.0000 0.5000 0.0000 1
Te1 Te 0.0000 0.5000 0.5000 1
Te2 Te 0.1642 0.0000 0.8251 1
Te3 Te 0.1728 0.0000 0.3360 1


Entry 6:
# ErTlSi, optimized geometry, DFT PBE
# Uncorrected energy = -49.4 eV for the cell shown
# Distance to the lowest polymorph of the same formula = 0.000 eV/atom
# Crystal system = cubic
data_ErTlSi
_symmetry_space_group_name_H-M 'F -4 3 m'
_symmetry_Int_Tables_number 216
_symmetry_space_group_name_Hall 'F -4 2 3'
_cell_length_a 6.7768
_cell_length_b 6.7768
_cell_length_c 6.7768
_cell_angle_alpha 90.00
_cell_angle_beta 90.00
_cell_angle_gamma 90.00
loop_
_atom_site_label
_atom_site_type_symbol
_atom_site_fract_x
_atom_site_fract_y
_atom_site_fract_z
_atom_site_occupancy
Er1 Er 0.0000 0.0000 0.0000 1
Tl1 Tl 0.0000 0.0000 0.5000 1
Si1 Si 0.2500 0.2500 0.2500 1


Entry 7:
# ErTmSi2, optimized geometry, DFT PBE
# Uncorrected energy = -46.3 eV for the cell shown
# Crystal system = orthorhombic
data_ErTmSi2
_symmetry_space_group_name_H-M 'A m m 2'
_symmetry_Int_Tables_number 38
_cell_length_a 3.7961
_cell_length_b 4.2153
_cell_length_c 10.4079
_cell_angle_alpha 90.00
_cell_angle_beta 90.00
_cell_angle_gamma 90.00
loop_
_symmetry_equiv_pos_as_xyz
'x,y,z'
'-x,-y,z'
'-x,y,z'
'x,-y,z'
'x,y+1/2,z+1/2'
'-x,-y+1/2,z+1/2'
'-x,y+1/2,z+1/2'
'x,-y+1/2,z+1/2'
loop_
_atom_site_label
_atom_site_type_symbol
_atom_site_fract_x
_atom_site_fract_y
_atom_site_fract_z
_atom_site_occupancy
Er1 Er 0.0000 0.0000 0.0000 1
Tm1 Tm 0.5000 0.0000 0.7186 1
Si1 Si 0.0000 0.0000 0.2816 1
Si2 Si 0.5000 0.0000 0.4366 1


Entry 8:
# ErTmSi2W, optimized geometry, DFT PBE
# Uncorrected energy = -143.0 eV for the cell shown
# Crystal system = monoclinic
data_ErTmSi2W
_symmetry_space_group_name_H-M 'C 1 2/m 1'
_symmetry_Int_Tables_number 12
_cell_length_a 11.3994
_cell_length_b 3.9722
_cell_length_c 10.0703
_cell_angle_alpha 90.00
_cell_angle_beta 119.16
_cell_angle_gamma 90.00
loop_
_symmetry_equiv_pos_as_xyz
'x,y,z'
'-x,-y,-z'
'-x,y,-z'
'x,-y,z'
'x+1/2,y+1/2,z'
'-x+1/2,-y+1/2,-z'
'-x+1/2,y+1/2,-z'
'x+1/2,-y+1/2,z'
loop_
_atom_site_label
_atom_site_type_symbol
_atom_site_fract_x
_atom_site_fract_y
_atom_site_fract_z
_atom_site_occupancy
Er1 Er 0.1844 0.0000 0.1118 1
Tm1 Tm 0.0197 0.0000 0.6869 1
Si1 Si 0.0009 0.5000 0.8775 1
Si2 Si 0.1225 0.5000 0.5556 1
W1 W 0.2246 0.5000 0.3793 1


Entry 9:
# ErTmZn2Si2, optimized geometry, DFT PBE
# Uncorrected energy = -52.1 eV for the cell shown
# Crystal system = hexagonal
data_ErTmZn2Si2
_symmetry_space_group_name_H-M 'P 63/m m c'
_symmetry_Int_Tables_number 194
_symmetry_space_group_name_Hall '-P 6c 2c'
_cell_length_a 4.1186
_cell_length_b 4.1186
_cell_length_c 15.4922
_cell_angle_alpha 90.00
_cell_angle_beta 90.00
_cell_angle_gamma 120.00
loop_
_atom_site_label
_atom_site_type_symbol
_atom_site_fract_x
_atom_site_fract_y
_atom_site_fract_z
_atom_site_occupancy
Er1 Er 0.0000 0.0000 0.0000 1
Tm1 Tm 0.0000 0.0000 0.2500 1
Zn1 Zn 0.3333 0.6667 0.1388 1
Si1 Si 0.3333 0.6667 0.6178 1


Entry 10:
# ErUSi, optimized geometry, DFT PBE
# Uncorrected energy = -83.2 eV for the cell shown
# Distance to the lowest polymorph of the same formula = 0.000 eV/atom
# Crystal system = cubic
data_ErUSi
_symmetry_space_group_name_H-M 'F -4 3 m'
_symmetry_Int_Tables_number 216
_symmetry_space_group_name_Hall 'F -4 2 3'
_cell_length_a 6.7514
_cell_length_b 6.7514
_cell_length_c 6.7514
_cell_angle_alpha 90.00
_cell_angle_beta 90.00
_cell_angle_gamma 90.00
loop_
_atom_site_label
_atom_site_type_symbol
_atom_site_fract_x
_atom_site_fract_y
_atom_site_fract_z
_atom_site_occupancy
Er1 Er 0.0000 0.0000 0.0000 1
U1 U 0.0000 0.0000 0.5000 1
Si1 Si 0.2500 0.2500 0.2500 1


Entry 11:
# ErSiW, optimized geometry, DFT PBE
# Uncorrected energy = -89.4 eV for the cell shown
# Crystal system = cubic
data_ErSiW
_symmetry_space_group_name_H-M 'F -4 3 m'
_symmetry_Int_Tables_number 216
_symmetry_space_group_name_Hall 'F -4 2 3'
_cell_length_a 6.2474
_cell_length_b 6.2474
_cell_length_c 6.2474
_cell_angle_alpha 90.00
_cell_angle_beta 90.00
_cell_angle_gamma 90.00
loop_
_atom_site_label
_atom_site_type_symbol
_atom_site_fract_x
_atom_site_fract_y
_atom_site_fract_z
_atom_site_occupancy
Er1 Er 0.0000 0.0000 0.0000 1
Si1 Si 0.2500 0.2500 0.2500 1
W1 W 0.0000 0.0000 0.5000 1


Entry 12:
# ErSiW, optimized geometry, DFT PBE
# Uncorrected energy = -75.3 eV for the cell shown
# Crystal system = cubic
data_ErSiW
_symmetry_space_group_name_H-M 'F -4 3 m'
_symmetry_Int_Tables_number 216
_symmetry_space_group_name_Hall 'F -4 2 3'
_cell_length_a 6.5818
_cell_length_b 6.5818
_cell_length_c 6.5818
_cell_angle_alpha 90.00
_cell_angle_beta 90.00
_cell_angle_gamma 90.00
loop_
_atom_site_label
_atom_site_type_symbol
_atom_site_fract_x
_atom_site_fract_y
_atom_site_fract_z
_atom_site_occupancy
Er1 Er 0.0000 0.0000 0.0000 1
Si1 Si 0.2500 0.2500 0.7500 1
W1 W 0.2500 0.2500 0.2500 1